Version a
# NaGdRe | OQMD | GGA-PBE | optimized geometry
# - M_tot: 5.749 μB per cell
# - Calculated density: 8.4 Mg/m³
data_NaGdRe
_space_group_name_H-M_alt 'F -4 3 m'
_space_group_IT_number 216
_space_group_name_Hall 'F -4 2 3'
_cell_length_a 6.605
_cell_length_b 6.605
_cell_length_c 6.605
_cell_angle_alpha 90.00
_cell_angle_beta 90.00
_cell_angle_gamma 90.00
loop_
_atom_site_label
_atom_site_type_symbol
_atom_site_fract_x
_atom_site_fract_y
_atom_site_fract_z
_atom_site_occupancy
Na1 Na 0.000 0.000 0.000 1
Gd1 Gd 0.250 0.250 0.750 1
Re1 Re 0.250 0.250 0.250 1

---

Version b
# NaGdRe | OQMD | GGA-PBE | optimized geometry
# - M_tot: 5.506 μB per cell
# - Calculated density: 7.8 Mg/m³
data_NaGdRe
_space_group_name_H-M_alt 'F -4 3 m'
_space_group_IT_number 216
_space_group_name_Hall 'F -4 2 3'
_cell_length_a 6.782
_cell_length_b 6.782
_cell_length_c 6.782
_cell_angle_alpha 90.00
_cell_angle_beta 90.00
_cell_angle_gamma 90.00
loop_
_atom_site_label
_atom_site_type_symbol
_atom_site_fract_x
_atom_site_fract_y
_atom_site_fract_z
_atom_site_occupancy
Na1 Na 0.000 0.000 0.000 1
Gd1 Gd 0.250 0.250 0.250 1
Re1 Re 0.000 0.000 0.500 1

---

Which one sits at the top of the stability order? version b does.

---

Version a
# NaSrGdS3 | OQMD | GGA-PBE | optimized geometry
# - M_tot: 0.008 μB per cell
# - Calculated density: 4.1 Mg/m³
data_NaSrGdS3
_space_group_name_H-M_alt 'C 1 2/m 1'
_space_group_IT_number 12
_cell_length_a 17.203
_cell_length_b 4.031
_cell_length_c 8.714
_cell_angle_alpha 90.00
_cell_angle_beta 104.97
_cell_angle_gamma 90.00
loop_
_space_group_symop_operation_xyz
'x,y,z'
'-x,-y,-z'
'-x,y,-z'
'x,-y,z'
'x+1/2,y+1/2,z'
'-x+1/2,-y+1/2,-z'
'-x+1/2,y+1/2,-z'
'x+1/2,-y+1/2,z'
loop_
_atom_site_label
_atom_site_type_symbol
_atom_site_fract_x
_atom_site_fract_y
_atom_site_fract_z
_atom_site_occupancy
Na1 Na 0.003 0.000 0.203 1
Sr1 Sr 0.135 0.500 0.566 1
Gd1 Gd 0.166 0.500 0.089 1
S1 S 0.000 0.000 0.500 1
S2 S 0.000 0.500 0.000 1
S3 S 0.169 0.000 0.862 1
S4 S 0.178 0.000 0.314 1

---

Version b
# NaSrGdS3 | OQMD | GGA-PBE | optimized geometry
# - M_tot: 0.002 μB per cell
# - Calculated density: 3.6 Mg/m³
data_NaSrGdS3
_space_group_name_H-M_alt 'P n m a'
_space_group_IT_number 62
_cell_length_a 13.842
_cell_length_b 4.122
_cell_length_c 11.748
_cell_angle_alpha 90.00
_cell_angle_beta 90.00
_cell_angle_gamma 90.00
loop_
_space_group_symop_operation_xyz
'x,y,z'
'-x,-y,-z'
'-x+1/2,-y,z+1/2'
'x+1/2,y,-z+1/2'
'x+1/2,-y+1/2,-z+1/2'
'-x+1/2,y+1/2,z+1/2'
'-x,y+1/2,-z'
'x,-y+1/2,z'
loop_
_atom_site_label
_atom_site_type_symbol
_atom_site_fract_x
_atom_site_fract_y
_atom_site_fract_z
_atom_site_occupancy
Na1 Na 0.020 0.250 0.086 1
Sr1 Sr 0.249 0.750 0.943 1
Gd1 Gd 0.006 0.250 0.656 1
S1 S 0.105 0.250 0.873 1
S2 S 0.109 0.250 0.275 1
S3 S 0.114 0.750 0.545 1

---

Which one sits at the top of the stability order? version a does.

---

Version a
# NaGdZnSe3 | OQMD | GGA-PBE | optimized geometry
# - M_tot: 0.004 μB per cell
# - Calculated density: 5.5 Mg/m³
data_NaGdZnSe3
_space_group_name_H-M_alt 'P n m a'
_space_group_IT_number 62
_cell_length_a 8.309
_cell_length_b 4.183
_cell_length_c 16.630
_cell_angle_alpha 90.00
_cell_angle_beta 90.00
_cell_angle_gamma 90.00
loop_
_space_group_symop_operation_xyz
'x,y,z'
'-x,-y,-z'
'-x+1/2,-y,z+1/2'
'x+1/2,y,-z+1/2'
'x+1/2,-y+1/2,-z+1/2'
'-x+1/2,y+1/2,z+1/2'
'-x,y+1/2,-z'
'x,-y+1/2,z'
loop_
_atom_site_label
_atom_site_type_symbol
_atom_site_fract_x
_atom_site_fract_y
_atom_site_fract_z
_atom_site_occupancy
Na1 Na 0.067 0.250 0.222 1
Gd1 Gd 0.239 0.250 0.952 1
Zn1 Zn 0.128 0.250 0.645 1
Se1 Se 0.000 0.250 0.415 1
Se2 Se 0.126 0.750 0.057 1
Se3 Se 0.197 0.250 0.784 1

---

Version b
# NaGdZnSe3 | OQMD | GGA-PBE | optimized geometry
# - M_tot: 0.002 μB per cell
# - Calculated density: 5.5 Mg/m³
data_NaGdZnSe3
_space_group_name_H-M_alt 'P n m a'
_space_group_IT_number 62
_cell_length_a 11.592
_cell_length_b 4.147
_cell_length_c 12.200
_cell_angle_alpha 90.00
_cell_angle_beta 90.00
_cell_angle_gamma 90.00
loop_
_space_group_symop_operation_xyz
'x,y,z'
'-x,-y,-z'
'-x+1/2,-y,z+1/2'
'x+1/2,y,-z+1/2'
'x+1/2,-y+1/2,-z+1/2'
'-x+1/2,y+1/2,z+1/2'
'-x,y+1/2,-z'
'x,-y+1/2,z'
loop_
_atom_site_label
_atom_site_type_symbol
_atom_site_fract_x
_atom_site_fract_y
_atom_site_fract_z
_atom_site_occupancy
Na1 Na 0.167 0.250 0.001 1
Gd1 Gd 0.024 0.250 0.318 1
Zn1 Zn 0.249 0.250 0.708 1
Se1 Se 0.050 0.750 0.150 1
Se2 Se 0.101 0.250 0.565 1
Se3 Se 0.218 0.750 0.820 1

---

Which one sits at the top of the stability order? version b does.